The following is a DFT calculation (PBE) of an optimized crystal structure of Ta2TePb.

abc: 5.413 5.413 5.413
angles: 131.95 131.95 70.31
Fractional coordinates of all 4 atoms:
Pb1 0.750 0.250 0.500
Ta1 0.000 0.000 0.000
Ta2 0.250 0.750 0.500
Te1 0.500 0.500 0.000

Values from the calculation:
Uncorrected formation energy   671 meV/atom
ρ   13.45 g/cm3
Total DFT energy (no corrections)   -27.9 eV/cell
Energy above the most stable polymorph in this dataset   0.597 eV per atom
Crystal system   tetragonal

---

The following is a DFT calculation (PBE) of an optimized crystal structure of TaTe2Pb.

abc: 3.639 5.741 4.895
angles: 90.00 90.00 90.00
Fractional coordinates of all 4 atoms:
Pb1 0.500 0.000 0.500
Ta1 0.000 0.500 0.500
Te1 0.000 0.000 0.000
Te2 0.500 0.500 0.000

Values from the calculation:
Uncorrected formation energy   642 meV/atom
ρ   10.45 g/cm3
Total DFT energy (no corrections)   -19.3 eV/cell
Crystal system   orthorhombic

---

The following is a DFT calculation (PBE) of an optimized crystal structure of Ta2TePb.

abc: 9.401 9.401 9.401
angles: 19.98 19.98 19.98
Fractional coordinates of all 4 atoms:
Pb1 0.750 0.750 0.750
Ta1 0.995 0.995 0.995
Ta2 0.505 0.505 0.505
Te1 0.250 0.250 0.250

Values from the calculation:
Uncorrected formation energy   496 meV/atom
ρ   13.64 g/cm3
Total DFT energy (no corrections)   -28.6 eV/cell
Energy above the most stable polymorph in this dataset   0.422 eV per atom
Crystal system   trigonal